## Li3Ce2NpSe6 (PBE-GGA)

Data for an optimized crystal structure of Li3Ce2NpSe6.

Computed properties:
Crystal system: monoclinic
M_tot, μB per formula unit: 6.00
Formation energy without anion corrections, kJ/mol of formula units: -1695
DFT total energy, eV/atom: -5.752

Unit cell a=7.2231 b=7.2231 c=6.9282 alpha=100.00 beta=100.00 gamma=120.00
Closest atoms and distances in Å follow each position.
Sites, in units of the cell vectors:
Ce 0.6670 0.3330 0.0000  6 Se 2.95
Ce 0.3330 0.6670 0.0000  6 Se 2.95
Se 0.9135 0.5846 0.7410  3 Li 2.86-2.92, 1 Np 2.91, 2 Ce 2.95
Se 0.0865 0.4154 0.2590  3 Li 2.86-2.92, 1 Np 2.91, 2 Ce 2.95
Se 0.5846 0.9135 0.7410  3 Li 2.86-2.92, 1 Np 2.91, 2 Ce 2.95
Se 0.2436 0.2436 0.7428  3 Li 2.85-2.90, 1 Np 2.91, 2 Ce 2.95
Se 0.7564 0.7564 0.2572  3 Li 2.85-2.90, 1 Np 2.91, 2 Ce 2.95
Se 0.4154 0.0865 0.2590  3 Li 2.86-2.92, 1 Np 2.91, 2 Ce 2.95
Np 0.0000 0.0000 0.0000  6 Se 2.91
Li 0.5000 0.5000 0.5000  6 Se 2.86-2.90
Li 0.1647 0.8353 0.5000  6 Se 2.85-2.92
Li 0.8353 0.1647 0.5000  6 Se 2.85-2.92

## LiCe2NpSe5 (PBE-GGA)

Data for an optimized crystal structure of LiCe2NpSe5.

Computed properties:
Crystal system: orthorhombic
M_tot, μB per formula unit: 5.96
Formation energy without anion corrections, kJ/mol of formula units: -1308
DFT total energy, eV/atom: -6.412

Unit cell a=4.1672 b=8.8573 c=12.3619 alpha=90.00 beta=90.00 gamma=103.61
Closest atoms and distances in Å follow each position.
Sites, in units of the cell vectors:
Se 0.2881 0.5761 0.6644  2 Np 2.87, 3 Ce 3.06-3.10
Se 0.3657 0.7314 0.9992  1 Li 2.72, 1 Np 2.85
Se 0.6343 0.2686 0.4992  1 Li 2.72, 1 Np 2.85
Se 0.0471 0.0942 0.0702  2 Li 2.44
Se 0.9529 0.9058 0.5702  2 Li 2.44
Se 0.3113 0.6226 0.3471  2 Np 2.87, 2 Ce 3.20
Se 0.5021 0.0042 0.2774  1 Li 2.46
Se 0.4979 0.9958 0.7774  1 Li 2.46
Se 0.6887 0.3774 0.8471  2 Np 2.87, 2 Ce 3.20
Se 0.7119 0.4239 0.1644  2 Np 2.87, 3 Ce 3.06-3.10
Ce 0.8911 0.7822 0.1852  8 Se 3.04-3.20
Ce 0.8733 0.7466 0.8011  8 Se 3.01-3.23
Ce 0.1267 0.2534 0.3011  8 Se 3.01-3.23
Ce 0.1089 0.2178 0.6852  8 Se 3.04-3.20
Li 0.4776 0.9553 0.4736  4 Se 2.44-2.72
Li 0.5224 0.0447 0.9736  4 Se 2.44-2.72
Np 0.1999 0.3999 0.0058  6 Se 2.75-2.87
Np 0.8001 0.6001 0.5058  6 Se 2.75-2.87

## LiCeNpTe3 (PBE-GGA)

Data for an optimized crystal structure of LiCeNpTe3.

Computed properties:
Crystal system: monoclinic
M_tot, μB per formula unit: 5.83
Formation energy without anion corrections, kJ/mol of formula units: -563
DFT total energy, eV/atom: -6.008

Unit cell a=4.3103 b=9.0577 c=9.5848 alpha=104.14 beta=90.00 gamma=90.00
Closest atoms and distances in Å follow each position.
Sites, in units of the cell vectors:
Te 0.7500 0.2304 0.5002  3 Li 2.74-2.79
Te 0.2500 0.0918 0.8715  1 Li 2.74
Te 0.7500 0.4303 0.1811  3 Np 3.09-3.13, 2 Ce 3.21
Te 0.2500 0.7696 0.4998  3 Li 2.74-2.79
Te 0.7500 0.9082 0.1285  1 Li 2.74
Te 0.2500 0.5697 0.8189  3 Np 3.09-3.13, 2 Ce 3.21
Ce 0.2500 0.1846 0.2295  7 Te 3.21-3.33
Ce 0.7500 0.8154 0.7705  7 Te 3.21-3.33
Np 0.7500 0.3329 0.8448  6 Te 3.09-3.21
Np 0.2500 0.6671 0.1552  6 Te 3.09-3.21
Li 0.2500 0.0871 0.5847  4 Te 2.74-2.79, 2 Li 2.92
Li 0.7500 0.9129 0.4153  4 Te 2.74-2.79, 2 Li 2.92

## Li2CeNpTe4 (PBE-GGA)

Data for an optimized crystal structure of Li2CeNpTe4.

Computed properties:
Crystal system: monoclinic
M_tot, μB per formula unit: 5.00
Formation energy without anion corrections, kJ/mol of formula units: -778
DFT total energy, eV/atom: -5.417

Unit cell a=4.4280 b=7.6712 c=7.5029 alpha=109.99 beta=90.00 gamma=90.00
Closest atoms and distances in Å follow each position.
Sites, in units of the cell vectors:
Li 0.0000 0.5000 0.5000  6 Te 3.08
Li 0.5000 0.0000 0.5000  6 Te 3.05
Te 0.5000 0.7502 0.7415  3 Li 3.05-3.08, 2 Np 3.13, 1 Ce 3.16
Te 0.0000 0.2436 0.7383  3 Li 3.05-3.08, 1 Np 3.14, 2 Ce 3.16
Te 0.5000 0.2498 0.2585  3 Li 3.05-3.08, 2 Np 3.13, 1 Ce 3.16
Te 0.0000 0.7564 0.2617  3 Li 3.05-3.08, 1 Np 3.14, 2 Ce 3.16
Ce 0.5000 0.5000 0.0000  6 Te 3.16
Np 0.0000 0.0000 0.0000  6 Te 3.13-3.14